# 1
A geometry-optimized TaZn2Ga4 structure, computed with PBE-GGA.

Unit cell a=5.5325 b=5.5325 c=5.5325 alpha=91.69 beta=119.03 gamma=119.03
Closest atoms and distances in Å follow each position.
Sites, in units of the cell vectors:
Zn  0.5000  0.0000  0.5000  8 Ga 2.77, 2 Ta 2.81
Ga  0.5000  0.0000  0.0000  4 Zn 2.77, 2 Ta 2.77, 4 Ga 2.81
Zn  0.5000  0.5000  0.0000  8 Ga 2.77, 2 Ta 2.81
Ta  0.0000  0.0000  0.0000  8 Ga 2.77, 4 Zn 2.81
Ga  0.5000  0.5000  0.5000  4 Zn 2.77, 2 Ta 2.77, 4 Ga 2.81
Ga  0.0000  0.5000  0.0000  2 Ta 2.77, 4 Zn 2.77, 4 Ga 2.81
Ga  0.0000  0.0000  0.5000  2 Ta 2.77, 4 Zn 2.77, 4 Ga 2.81

Values from the calculation:
- space-group type = I4/mmm (139)

# 2
A geometry-optimized TaZn2Ga2 structure, computed with PBE-GGA.

Unit cell a=7.2816 b=7.2816 c=3.0111 alpha=90.00 beta=90.00 gamma=90.00
Closest atoms and distances in Å follow each position.
Sites, in units of the cell vectors:
Ga  0.8214  0.3214  0.5000  6 Zn 2.54-2.69
Zn  0.8777  0.6223  0.0000  1 Zn 2.52, 6 Ga 2.54-2.69
Ga  0.3214  0.1786  0.5000  6 Zn 2.54-2.69
Ta  0.5000  0.5000  0.0000  4 Zn 2.89, 2 Ta 3.01, 8 Ga 3.07
Ga  0.1786  0.6786  0.5000  6 Zn 2.54-2.69
Ta  0.0000  0.0000  0.0000  4 Zn 2.89, 2 Ta 3.01, 8 Ga 3.07
Zn  0.3777  0.8777  0.0000  1 Zn 2.52, 6 Ga 2.54-2.69
Ga  0.6786  0.8214  0.5000  6 Zn 2.54-2.69
Zn  0.1223  0.3777  0.0000  1 Zn 2.52, 6 Ga 2.54-2.69
Zn  0.6223  0.1223  0.0000  1 Zn 2.52, 6 Ga 2.54-2.69

Values from the calculation:
- space-group type = P4/mbm (127)
- offset from the most stable computed form (meV/atom) = 15.0

# 3
A geometry-optimized Ta2ZnGa structure, computed with PBE-GGA.

Unit cell a=7.1245 b=7.1245 c=5.7509 alpha=51.73 beta=51.73 gamma=90.00
Closest atoms and distances in Å follow each position.
Sites, in units of the cell vectors:
Ga  0.7500  0.2500  0.5000  4 Ta 2.61, 2 Zn 2.77
Ga  0.0000  0.0000  0.0000  4 Ta 2.61, 2 Zn 2.77
Ta  0.8750  0.8748  0.7500  2 Zn 2.61, 2 Ga 2.61, 2 Ta 2.77
Ta  0.6248  0.1250  0.2500  2 Zn 2.61, 2 Ga 2.61, 2 Ta 2.77
Zn  0.5000  0.5000  0.0000  4 Ta 2.61, 2 Ga 2.77
Zn  0.2500  0.7500  0.5000  4 Ta 2.61, 2 Ga 2.77
Ta  0.1252  0.6250  0.2500  2 Zn 2.61, 2 Ga 2.61, 2 Ta 2.77
Ta  0.3750  0.3752  0.7500  2 Zn 2.61, 2 Ga 2.61, 2 Ta 2.77

Values from the calculation:
- space-group type = I-42d (122)

# 4
A geometry-optimized TaZn2Ga structure, computed with PBE-GGA.

Unit cell a=4.0263 b=3.8990 c=3.8990 alpha=90.00 beta=90.00 gamma=90.00
Closest atoms and distances in Å follow each position.
Sites, in units of the cell vectors:
Zn  0.0000  0.5000  0.0000  4 Zn 2.76, 4 Ta 2.80, 4 Ga 2.80
Ta  0.5000  0.5000  0.5000  4 Ga 2.76, 8 Zn 2.80
Ga  0.5000  0.0000  0.0000  4 Ta 2.76, 8 Zn 2.80
Zn  0.0000  0.0000  0.5000  4 Zn 2.76, 4 Ta 2.80, 4 Ga 2.80

Values from the calculation:
- space-group type = P4/mmm (123)

Energy of formation from the pure elements
In order: -0.097 0.133 0.338 -0.134
Unit: eV per atom